4
Lattice="-1.590 4.472 4.983 1.590 -4.472 4.983 1.590 4.472 -4.983" Properties=species:S:1:pos:R:3 comment="AlCl (PBE, relaxed)" n_ef_per_ev_cell=0.02 spacegroup="Imma (74)" formation_energy_uncorrected_mev_per_atom=-420 pbc="T T T"
Al 0.000 2.236 1.505
Al 1.590 2.236 3.477
Cl 1.590 2.236 -0.200
Cl 0.000 2.236 5.183

---

12
Lattice="-3.154 9.528 3.196 3.154 -9.528 3.196 3.154 9.528 -3.196" Properties=species:S:1:pos:R:3 comment="InHgBi2Pb2 (PBE, relaxed)" n_ef_per_ev_cell=6.94 spacegroup="Ibam (72)" formation_energy_kj_per_mol_atoms=4.6 pbc="T T T"
In 0.000 0.000 1.598
In 0.000 0.000 4.794
Hg 3.154 0.000 1.598
Hg 0.000 9.528 1.598
Bi 4.671 2.621 0.000
Bi 1.517 6.906 0.000
Bi 1.636 2.621 3.196
Bi -1.517 6.906 3.196
Pb 1.505 3.639 0.000
Pb 1.505 -3.639 3.196
Pb 1.649 13.167 0.000
Pb 1.649 5.888 3.196

---

Ordered spin magnetization results: 0.00, 0.00; unit Bohr magnetons per cell.
Ordered DFT total energy results: -3.215, -2.988; unit eV/atom.